Entry one
Here is an optimized crystal structure of NaHg4Pd from Alexandria via LeMat-Bulk. Energies are from PBE.

a = 4.5472 Å, b = 4.5472 Å, c = 9.6425 Å
α = 103.81°, β = 103.81°, γ = 59.42°
Atoms (fractional coordinates):
1 Na 0.0000 0.0000 0.0000
2 Hg 0.1294 0.1294 0.3845
3 Hg 0.3950 0.3950 0.1893
4 Hg 0.6050 0.6050 0.8107
5 Hg 0.8706 0.8706 0.6155
6 Pd 0.5000 0.5000 0.5000

Theoretical density   9.4 g/cm3
Calculated volume   165 Å³/cell

=====

Entry two
Here is an optimized crystal structure of NaHg4Pd from Alexandria via LeMat-Bulk. Energies are from PBE.

a = 4.4791 Å, b = 4.4791 Å, c = 8.0684 Å
α = 90.00°, β = 90.00°, γ = 90.00°
Atoms (fractional coordinates):
1 Na 0.0000 0.0000 0.0000
2 Hg 0.0000 0.5000 0.2839
3 Hg 0.0000 0.5000 0.7161
4 Hg 0.5000 0.0000 0.2839
5 Hg 0.5000 0.0000 0.7161
6 Pd 0.5000 0.5000 0.5000

Theoretical density   9.6 g/cm3
Calculated volume   162 Å³/cell

=====

Stability check: which of them is most stable? entry one.

=====

Entry one
Here is an optimized crystal structure of Na3Hg4Pd2 from Alexandria via LeMat-Bulk. Energies are from PBE.

a = 5.4402 Å, b = 5.4402 Å, c = 12.5436 Å
α = 98.55°, β = 98.55°, γ = 32.79°
Atoms (fractional coordinates):
1 Na 0.0000 0.0000 0.0000
2 Na 0.3743 0.3743 0.3461
3 Na 0.6257 0.6257 0.6539
4 Hg 0.1225 0.1225 0.4250
5 Hg 0.2882 0.2882 0.1174
6 Hg 0.7118 0.7118 0.8826
7 Hg 0.8775 0.8775 0.5750
8 Pd 0.3872 0.3872 0.7730
9 Pd 0.6128 0.6128 0.2270

Theoretical density   9.1 g/cm3
Calculated volume   199 Å³/cell

=====

Entry two
Here is an optimized crystal structure of Na3Hg4Pd2 from Alexandria via LeMat-Bulk. Energies are from PBE.

a = 5.5079 Å, b = 5.5079 Å, c = 9.1212 Å
α = 104.42°, β = 104.42°, γ = 52.44°
Atoms (fractional coordinates):
1 Na 0.0000 0.0000 0.0000
2 Na 0.3678 0.3678 0.3047
3 Na 0.6322 0.6322 0.6953
4 Hg 0.0592 0.0592 0.3540
5 Hg 0.2844 0.2844 0.9057
6 Hg 0.7156 0.7156 0.0943
7 Hg 0.9408 0.9408 0.6460
8 Pd 0.2960 0.2960 0.6048
9 Pd 0.7040 0.7040 0.3952

Theoretical density   8.5 g/cm3
Calculated volume   211 Å³/cell

=====

Stability check: which of them is most stable? entry two.

=====

Entry one
Here is an optimized crystal structure of Na4HgPd from Alexandria via LeMat-Bulk. Energies are from PBE.

a = 9.0556 Å, b = 9.0556 Å, c = 5.6455 Å
α = 90.63°, β = 90.63°, γ = 141.75°
Atoms (fractional coordinates):
1 Na 0.0450 0.4515 0.2572
2 Na 0.2080 0.2647 0.1126
3 Na 0.2647 0.2080 0.6126
4 Na 0.4515 0.0450 0.7572
5 Na 0.5485 0.9550 0.2428
6 Na 0.7353 0.7920 0.3874
7 Na 0.7920 0.7353 0.8874
8 Na 0.9550 0.5485 0.7428
9 Hg 0.3682 0.6318 0.7500
10 Hg 0.6318 0.3682 0.2500
11 Pd 0.1337 0.8663 0.2500
12 Pd 0.8663 0.1337 0.7500

Theoretical density   4.6 g/cm3
Calculated volume   286 Å³/cell

=====

Entry two
Here is an optimized crystal structure of Na4HgPd from Alexandria via LeMat-Bulk. Energies are from PBE.

a = 7.8013 Å, b = 7.8013 Å, c = 7.8013 Å
α = 123.28°, β = 123.28°, γ = 84.40°
Atoms (fractional coordinates):
1 Na 0.0316 0.5316 0.8407
2 Na 0.1908 0.0316 0.5000
3 Na 0.3092 0.8092 0.8407
4 Na 0.4684 0.3092 0.5000
5 Na 0.5316 0.6908 0.5000
6 Na 0.6908 0.1908 0.1593
7 Na 0.8092 0.9684 0.5000
8 Na 0.9684 0.4684 0.1593
9 Hg 0.0000 0.0000 0.0000
10 Hg 0.5000 0.5000 0.0000
11 Pd 0.2500 0.2500 0.0000
12 Pd 0.7500 0.7500 0.0000

Theoretical density   4.2 g/cm3
Calculated volume   317 Å³/cell

=====

Stability check: which of them is most stable? entry two.

=====

Entry one
Here is an optimized crystal structure of NaHg3Pd from Alexandria via LeMat-Bulk. Energies are from PBE.

a = 5.3086 Å, b = 5.3086 Å, c = 5.3086 Å
α = 90.00°, β = 90.00°, γ = 90.00°
Atoms (fractional coordinates):
1 Na 0.0000 0.0000 0.0000
2 Hg 0.0000 0.5000 0.5000
3 Hg 0.5000 0.0000 0.5000
4 Hg 0.5000 0.5000 0.0000
5 Pd 0.5000 0.5000 0.5000

Theoretical density   8.1 g/cm3
Calculated volume   150 Å³/cell

=====

Entry two
Here is an optimized crystal structure of NaHg3Pd from Alexandria via LeMat-Bulk. Energies are from PBE.

a = 10.0985 Å, b = 10.0985 Å, c = 10.0985 Å
α = 146.86°, β = 146.86°, γ = 47.57°
Atoms (fractional coordinates):
1 Na 0.2032 0.2032 0.0000
2 Na 0.7968 0.7968 0.0000
3 Hg 0.3722 0.1263 0.7541
4 Hg 0.3722 0.6180 0.2459
5 Hg 0.3820 0.6278 0.7541
6 Hg 0.5308 0.0308 0.5000
7 Hg 0.8737 0.6278 0.2459
8 Hg 0.9692 0.4692 0.5000
9 Pd 0.2500 0.7500 0.5000
10 Pd 0.5000 0.5000 0.0000

Theoretical density   7.9 g/cm3
Calculated volume   307 Å³/cell

=====

Entry three
Here is an optimized crystal structure of NaHg3Pd from Alexandria via LeMat-Bulk. Energies are from PBE.

a = 5.4759 Å, b = 7.3735 Å, c = 7.3747 Å
α = 60.68°, β = 85.18°, γ = 85.50°
Atoms (fractional coordinates):
1 Na 0.0031 0.1638 0.1603
2 Na 0.9969 0.8362 0.8397
3 Hg 0.1523 0.3942 0.3970
4 Hg 0.5000 0.0000 0.5000
5 Hg 0.4997 0.1877 0.8120
6 Hg 0.5000 0.5000 0.0000
7 Hg 0.5003 0.8123 0.1880
8 Hg 0.8477 0.6058 0.6030
9 Pd 0.3390 0.6099 0.6118
10 Pd 0.6610 0.3901 0.3882

Theoretical density   9.4 g/cm3
Calculated volume   258 Å³/cell

=====

Stability check: which of them is most stable? entry three.